15
Lattice="-3.879 2.409 3.729 -1.858 -3.671 -4.223 1.090 -7.226 5.802" Properties=species:S:1:pos:R:3 comment="Ca3B2Pd9Pb, optimized geometry, DFT PBE" spacegroup="P-3m1 (164)" formation_enthalpy_0k_ev_per_atom=-0.533 pbc="T T T"
Ca -1.803 -6.479 2.309
Ca 0.000 0.000 0.000
Ca -2.845 -2.009 2.999
B -2.379 -2.657 -0.759
B -2.269 -5.831 6.067
Pd -2.745 -3.907 6.685
Pd -3.684 -5.762 4.550
Pd -0.784 -5.125 4.799
Pd -3.864 -3.363 0.509
Pd -0.964 -2.726 0.758
Pd -1.903 -4.581 -1.376
Pd -1.940 1.204 1.865
Pd -0.929 -1.835 -2.111
Pd -2.869 -0.631 -0.247
Pb 0.545 -3.613 2.901

---

12
Lattice="-3.568 -6.644 0.266 4.071 -5.189 -3.711 5.197 -4.071 3.677" Properties=species:S:1:pos:R:3 comment="LaEr5Te6, optimized geometry, DFT PBE" spacegroup="C2/m (12)" pbc="T T T"
Er 2.444 -6.940 2.114
Er 3.097 -3.090 0.002
Er 0.251 -5.917 -1.723
Er 6.171 -6.170 -0.036
Er 3.256 -8.964 -1.882
Te -0.472 -6.777 1.156
Te 3.178 -6.085 -0.745
Te 0.201 -3.025 -0.922
Te 0.302 -8.808 -2.523
Te 2.521 -9.819 0.977
Te 6.171 -9.127 -0.924
La 0.000 0.000 0.000

---

4
Lattice="2.625 0.000 0.000 0.000 2.625 0.000 0.000 0.000 6.516" Properties=species:S:1:pos:R:3 comment="BeNi2W, optimized geometry, DFT PBE" spacegroup="P4/mmm (123)" formation_enthalpy_0k_ev_per_atom=-0.202 pbc="T T T"
Ni 0.000 0.000 6.207
Ni 0.000 0.000 3.568
W 1.313 1.313 1.629
Be 1.313 1.313 4.887

---

4
Lattice="3.226 0.000 0.001 0.000 5.086 -0.001 -0.036 -2.523 7.286" Properties=species:S:1:pos:R:3 comment="ZrHg2Br, optimized geometry, DFT PBE" de_polymorph_ev_per_atom=0.077 spacegroup="P1 (1)" pbc="T T T"
Br 1.720 1.343 6.487
Hg 1.721 -1.201 3.692
Hg 1.719 1.343 1.741
Zr 0.108 1.342 4.313

---

4
Lattice="-2.139 -1.846 -4.346 -4.252 -2.954 0.256 -4.551 1.860 -1.642" Properties=species:S:1:pos:R:3 comment="CaCeGaAu, optimized geometry, DFT PBE" spacegroup="F-43m (216)" formation_enthalpy_0k_ev_per_atom=-0.577 pbc="T T T"
Ca -5.471 -1.470 -2.866
Au -8.207 -2.205 -4.299
Ga -2.736 -0.735 -1.433
Ce 0.000 0.000 0.000

---

14
Lattice="-1.182 -6.443 0.761 4.410 -0.713 -4.851 7.712 -0.433 7.242" Properties=species:S:1:pos:R:3 comment="Dy3Y3Th, optimized geometry, DFT PBE" de_polymorph_ev_per_atom=0.125 spacegroup="C2/m (12)" formation_enthalpy_0k_ev_per_atom=0.152 pbc="T T T"
Dy 4.420 -2.506 1.845
Dy 3.736 -5.571 3.317
Dy 7.204 -2.018 -0.164
Dy -0.157 -5.392 -0.268
Dy 3.385 -1.763 -3.822
Dy 6.521 -5.083 1.308
Y 2.028 -0.291 1.724
Y 7.802 -1.499 3.194
Y 5.800 -3.550 5.203
Y 3.139 -6.090 -0.041
Y 5.141 -4.039 -2.050
Y 8.913 -7.298 1.429
Th 1.686 -2.431 -0.803
Th 9.255 -5.157 3.955

---

16
Lattice="9.309 -0.045 -1.716 -0.051 9.309 -1.716 -5.896 -5.900 8.244" Properties=species:S:1:pos:R:3 comment="NdDy4HoTm2, optimized geometry, DFT PBE" spacegroup="Imma (74)" formation_enthalpy_0k_ev_per_atom=0.439 pbc="T T T"
Nd -0.026 4.655 -0.858
Nd 6.336 1.660 1.547
Dy 2.309 6.966 -1.708
Dy 4.026 -0.677 2.397
Dy -0.664 4.041 2.414
Dy 1.053 -3.602 6.519
Dy 6.908 6.970 -2.566
Dy 3.974 4.033 1.539
Dy -0.612 -0.669 3.272
Dy -3.546 -3.605 7.378
Ho 1.681 1.682 2.406
Ho 3.413 -5.945 6.528
Tm 4.655 -0.022 -0.858
Tm 1.707 -2.972 3.264
Tm -2.948 -2.950 4.122
Tm 4.629 4.632 -1.716

---

5
Lattice="-5.517 -1.016 0.329 0.458 -3.816 -4.098 0.964 -3.997 3.830" Properties=species:S:1:pos:R:3 comment="HgSbBr3, optimized geometry, DFT PBE" de_polymorph_ev_per_atom=0.109 spacegroup="Pm-3m (221)" pbc="T T T"
Sb 0.000 0.000 0.000
Hg -2.047 -4.414 0.030
Br 0.229 -1.908 -2.049
Br 0.482 -1.998 1.915
Br -2.758 -0.508 0.165

---

Number 1: total DFT energy (no corrections) -77.80 eV/cell. Number 2: total DFT energy (no corrections) -61.89 eV/cell. Number 3: total DFT energy (no corrections) -29.05 eV/cell. Number 4: total DFT energy (no corrections) -12.06 eV/cell. Number 5: total DFT energy (no corrections) -16.55 eV/cell. Number 6: total DFT energy (no corrections) -79.11 eV/cell. Number 7: total DFT energy (no corrections) -66.37 eV/cell. Number 8: total DFT energy (no corrections) -11.20 eV/cell.